An optimized crystal structure of Y2HfSi3Pt4. Source: the Alexandria database, functional PBE.

Cell and atoms, written as CIF:
```
data_Y2HfSi3Pt4
_space_group_name_H-M_alt 'P -4 m 2'
_space_group_IT_number 115
_space_group_name_Hall 'P -4 -2'
_cell_length_a 4.1328
_cell_length_b 4.1328
_cell_length_c 10.8337
_cell_angle_alpha 90.00
_cell_angle_beta 90.00
_cell_angle_gamma 90.00
loop_
_atom_site_label
_atom_site_type_symbol
_atom_site_fract_x
_atom_site_fract_y
_atom_site_fract_z
_atom_site_occupancy
Y1 Y 0.0000 0.5000 0.2280 1
Hf1 Hf 0.0000 0.0000 0.5000 1
Si1 Si 0.0000 0.5000 0.8697 1
Si2 Si 0.5000 0.5000 0.5000 1
Pt1 Pt 0.0000 0.0000 0.0000 1
Pt2 Pt 0.0000 0.5000 0.6501 1
Pt3 Pt 0.5000 0.5000 0.0000 1
```

Results
M_tot: 0.000 μB per formula unit
energy relative to the elements, uncorrected: -10.84 eV per formula unit